Ba3ZnMo: relaxed, PBEsol.

Calculated values
Formation energy, meV per atom: 775.7
Density of states at the Fermi level, states/eV per cell: 6.13
Total DFT energy (no corrections), eV per atom: -3.184

Lattice parameters (Å, degrees): 5.827 5.827 5.827 90.00 90.00 90.00
Positions (direct):
Zn 0.500 0.500 0.500
Ba 0.500 0.000 0.000
Ba 0.000 0.000 0.500
Ba 0.000 0.500 0.000
Mo 0.000 0.000 0.000

BeZnPb2: relaxed, PBEsol.

Calculated values
Formation energy, meV per atom: 509.5
Density of states at the Fermi level, states/eV per cell: 1.82
Relative energy among the computed polymorphs, eV per atom: 0.194
Total DFT energy (no corrections), eV per atom: -2.885

Lattice parameters (Å, degrees): 3.672 4.821 4.821 90.00 90.00 90.00
Positions (direct):
Be 0.500 0.000 0.000
Zn 0.500 0.500 0.500
Pb 0.000 0.500 0.000
Pb 0.000 0.000 0.500

ZrTa2Fe: relaxed, PBEsol.

Calculated values
Formation energy, meV per atom: -3.5
Density of states at the Fermi level, states/eV per cell: 3.73
Relative energy among the computed polymorphs, eV per atom: 0.033
Total DFT energy (no corrections), eV per atom: -10.792

Lattice parameters (Å, degrees): 3.037 3.037 7.266 90.00 90.00 90.05
Last column: magnetic moment on the atom in μB.
Positions (direct):
Fe 0.500 0.500 0.000  0.88
Zr 0.500 0.500 0.500  -0.04
Ta 0.000 0.000 0.205  -0.07
Ta 0.000 0.000 0.795  -0.07

- Look up the density of states at the Fermi level of the third one.
  3.73 states/eV per cell